Entry from Alexandria via LeMat-Bulk: a relaxed structure of Sm2NiSn3Rh4 (GGA-PBE).

Values from the calculation:
space group = No. 115
calculated volume = 204 Å³ per cell
Fermi-level density of states = 7.16 states/eV/cell
calculated formation energy = -0.5974 eV/atom
mass density = 9.2 g cm⁻³
crystal system = tetragonal
total magnetization = 0.000 μB/atom

a = 4.2316 Å, b = 4.2316 Å, c = 11.4074 Å
α = 90.00°, β = 90.00°, γ = 90.00°
Positions (direct):
Sm 0.0000 0.5000 0.2297
Sm 0.5000 0.0000 0.7703
Ni 0.5000 0.5000 0.0000
Sn 0.0000 0.0000 0.0000
Sn 0.0000 0.5000 0.6340
Sn 0.5000 0.0000 0.3660
Rh 0.0000 0.0000 0.5000
Rh 0.0000 0.5000 0.8623
Rh 0.5000 0.0000 0.1377
Rh 0.5000 0.5000 0.5000


Entry from Alexandria via LeMat-Bulk: a relaxed structure of RbBa2CaP (GGA-PBE).

Values from the calculation:
space group = No. 123
calculated volume = 248 Å³ per cell
Fermi-level density of states = 4.69 states/eV/cell
calculated formation energy = -0.3791 eV/atom
mass density = 2.9 g cm⁻³
crystal system = tetragonal
total magnetization = 0.089 μB/atom

a = 6.5400 Å, b = 6.5400 Å, c = 5.8099 Å
α = 90.00°, β = 90.00°, γ = 90.00°
Positions (direct):
Rb 0.0000 0.0000 0.0000
Ba 0.0000 0.5000 0.5000
Ba 0.5000 0.0000 0.5000
Ca 0.5000 0.5000 0.0000
P 0.5000 0.5000 0.5000


Entry from Alexandria via LeMat-Bulk: a relaxed structure of KCaCoBr2 (GGA-PBE).

Values from the calculation:
space group = No. 123
calculated volume = 138 Å³ per cell
Fermi-level density of states = 5.37 states/eV/cell
electronic total energy = -0.197 Ry per atom
mass density = 3.6 g cm⁻³
crystal system = tetragonal
total magnetization = 0.000 μB/atom

a = 5.0951 Å, b = 5.0951 Å, c = 5.3299 Å
α = 90.00°, β = 90.00°, γ = 90.00°
Positions (direct):
K 0.0000 0.0000 0.0000
Ca 0.5000 0.5000 0.0000
Co 0.0000 0.0000 0.5000
Br 0.0000 0.5000 0.5000
Br 0.5000 0.0000 0.5000


Entry from Alexandria via LeMat-Bulk: a relaxed structure of CeTh4Zn (GGA-PBE).

Values from the calculation:
space group = No. 123
calculated volume = 175 Å³ per cell
Fermi-level density of states = 8.71 states/eV/cell
calculated formation energy = -0.0351 eV/atom
mass density = 10.8 g cm⁻³
crystal system = tetragonal
total magnetization = 0.000 μB/atom

a = 3.5671 Å, b = 3.5671 Å, c = 13.7327 Å
α = 90.00°, β = 90.00°, γ = 90.00°
Positions (direct):
Ce 0.0000 0.0000 0.0000
Th 0.0000 0.0000 0.3590
Th 0.0000 0.0000 0.6410
Th 0.5000 0.5000 0.1751
Th 0.5000 0.5000 0.8249
Zn 0.5000 0.5000 0.5000


Entry from Alexandria via LeMat-Bulk: a relaxed structure of KNbTeN2 (GGA-PBE).

Values from the calculation:
space group = No. 123
calculated volume = 103 Å³ per cell
Fermi-level density of states = 3.16 states/eV/cell
mass density = 4.6 g cm⁻³
crystal system = tetragonal
total magnetization = 0.374 μB/atom
ΔE to the lowest computed polymorph = 0.0 meV/atom

a = 4.2743 Å, b = 4.2743 Å, c = 5.6506 Å
α = 90.00°, β = 90.00°, γ = 90.00°
Positions (direct):
K 0.0000 0.0000 0.0000
Nb 0.5000 0.5000 0.5000
Te 0.5000 0.5000 0.0000
N 0.0000 0.5000 0.5000
N 0.5000 0.0000 0.5000


Entry from Alexandria via LeMat-Bulk: a relaxed structure of B3PC (GGA-PBE).

Values from the calculation:
space group = No. 1
calculated volume = 45 Å³ per cell
Fermi-level density of states = 0.35 states/eV/cell
calculated formation energy = 0.4209 eV/atom
mass density = 2.8 g cm⁻³
crystal system = triclinic
total magnetization = 0.000 μB/atom
ΔE to the lowest computed polymorph = 173.2 meV/atom

a = 2.8380 Å, b = 3.4073 Å, c = 4.9694 Å
α = 107.85°, β = 92.36°, γ = 97.44°
Positions (direct):
B 0.0000 0.0000 0.0000
B 0.1456 0.5867 0.6286
B 0.5428 0.3109 0.9911
P 0.1097 0.6554 0.2492
C 0.6517 0.5140 0.7416


Entry from Alexandria via LeMat-Bulk: a relaxed structure of Pu3Zn5Pd2 (GGA-PBE).

Values from the calculation:
space group = No. 72
calculated volume = 403 Å³ per cell
Fermi-level density of states = 58.34 states/eV/cell
calculated formation energy = -0.2116 eV/atom
mass density = 10.5 g cm⁻³
crystal system = orthorhombic
total magnetization = 1.725 μB/atom

a = 8.8446 Å, b = 8.8446 Å, c = 8.8446 Å
α = 97.04°, β = 95.13°, γ = 142.00°
Positions (direct):
Pu 0.2465 0.6237 0.8702
Pu 0.2500 0.2500 0.0000
Pu 0.2535 0.1237 0.3772
Pu 0.7465 0.8763 0.6228
Pu 0.7500 0.7500 0.0000
Pu 0.7535 0.3763 0.1298
Zn 0.1376 0.3834 0.5210
Zn 0.2500 0.5130 0.2630
Zn 0.2500 0.7500 0.5000
Zn 0.2500 0.9870 0.7370
Zn 0.3624 0.8834 0.2458
Zn 0.6376 0.1166 0.7542
Zn 0.7500 0.0130 0.2630
Zn 0.7500 0.2500 0.5000
Zn 0.7500 0.4870 0.7370
Zn 0.8624 0.6166 0.4790
Pd 0.1532 0.8492 0.0024
Pd 0.3468 0.3492 0.6960
Pd 0.6532 0.6508 0.3040
Pd 0.8468 0.1508 0.9976


Entry from Alexandria via LeMat-Bulk: a relaxed structure of ZnCr4Rh (GGA-PBE).

Values from the calculation:
space group = No. 216
calculated volume = 76 Å³ per cell
Fermi-level density of states = 6.79 states/eV/cell
calculated formation energy = 0.1285 eV/atom
mass density = 8.3 g cm⁻³
crystal system = cubic
total magnetization = 0.000 μB/atom

a = 4.7480 Å, b = 4.7480 Å, c = 4.7480 Å
α = 60.00°, β = 60.00°, γ = 60.00°
Positions (direct):
Zn 0.0000 0.0000 0.0000
Cr 0.1172 0.6276 0.6276
Cr 0.6276 0.1172 0.6276
Cr 0.6276 0.6276 0.1172
Cr 0.6276 0.6276 0.6276
Rh 0.2500 0.2500 0.2500